First-principles (PBE) data for a relaxed PmIn2Ni9 crystal, as listed in the Alexandria database.

```
PmIn2Ni9
1.0
-4.196 -2.566 0.563
-0.475 -4.459 -2.097
1.374 -5.710 5.989
Ni Pm In
9 1 2
Direct
0.081 0.586 0.747
0.414 0.414 0.253
0.666 0.666 0.001
0.500 0.500 0.500
0.586 0.586 0.747
0.919 0.414 0.253
0.586 0.081 0.747
0.334 0.334 0.999
0.414 0.919 0.253
0.000 0.000 0.000
0.141 0.141 0.577
0.859 0.859 0.423
```

Output
Total magnetization in μB/cell: 2.004
Raw total energy in eV per formula unit: -64.6